# 1
A geometry-optimized Ca2MoBr structure, computed with PBE.

The structure in POSCAR format:
```
Ca2MoBr
1.0
4.281 0.000 0.000
0.000 4.281 0.000
0.000 0.000 6.350
Ca Mo Br
2 1 1
Direct
0.000 0.000 0.000
0.500 0.500 0.394
0.000 0.000 0.484
0.500 0.500 0.907
```


# 2
A geometry-optimized CaMoBr2 structure, computed with PBE.

The structure in POSCAR format:
```
CaMoBr2
1.0
2.510 -2.527 0.000
2.510 2.527 0.000
0.000 0.000 10.236
Ca Mo Br
1 1 2
Direct
0.000 0.000 0.000
0.000 0.000 0.500
0.500 0.500 0.167
0.500 0.500 0.833
```


# 3
A geometry-optimized Ca2MoBr structure, computed with PBE.

The structure in POSCAR format:
```
Ca2MoBr
1.0
3.950 -3.953 0.000
3.950 3.953 0.000
-0.006 0.000 3.346
Ca Mo Br
2 1 1
Direct
0.000 0.500 0.000
0.500 0.000 0.000
0.000 0.000 0.500
0.500 0.500 0.500
```


# 4
A geometry-optimized CaMoBr2 structure, computed with PBE.

The structure in POSCAR format:
```
CaMoBr2
1.0
4.222 0.000 0.000
0.000 3.566 0.000
-2.111 0.000 7.483
Ca Mo Br
1 1 2
Direct
0.000 0.000 0.000
0.393 0.500 0.787
0.269 0.000 0.542
0.574 0.500 0.148
```


Result set for uncorrected energy: -15.47; -16.24; -15.89; -17.24 eV per cell, one per record in the order listed.